Density functional theory data (GGA-PBE) for SbAsPd after structural relaxation.

The energy above the most stable polymorph in this dataset is 0.090 eV per atom. The calculation puts the uncorrected formation energy at -242.6 meV/atom.

The structure belongs to space group F-43m (No. 216); the cell edges are 6.389, 6.389 and 6.389 Å and the angles 90.00°, 90.00° and 90.00°. The asymmetric unit holds Sb at (0.000, 0.000, 0.000), As at (0.000, 0.000, 0.500) and Pd at (0.250, 0.250, 0.250).


Density functional theory data (GGA-PBE) for SbAsPd after structural relaxation.

The energy above the most stable polymorph in this dataset is 0.175 eV per atom. The calculation puts the uncorrected formation energy at -157.8 meV/atom.

The structure belongs to space group P3m1 (No. 156); the cell edges are 4.2248, 4.2248 and 4.4151 Å and the angles 90.00°, 90.00° and 120.00°. The asymmetric unit holds Sb at (0.0000, 0.0000, 0.0000), As at (0.3333, 0.6667, 0.4426) and Pd at (0.6667, 0.3333, 0.2850).


Density functional theory data (GGA-PBE) for SbAs2Pd after structural relaxation.

The calculation puts the uncorrected formation energy at -30.7 meV/atom.

The structure belongs to space group I-42d (No. 122); the cell edges are 5.975, 5.975 and 11.874 Å and the angles 90.00°, 90.00° and 90.00°. The asymmetric unit holds Sb at (0.000, 0.000, 0.000), As at (0.209, 0.250, 0.625) and Pd at (0.000, 0.000, 0.500).


Density functional theory data (GGA-PBE) for SbAsPd2 after structural relaxation.

The energy above the most stable polymorph in this dataset is 0.165 eV per atom. The calculation puts the uncorrected formation energy at -201.2 meV/atom.

The structure belongs to space group R-3m (No. 166, hexagonal axes); the cell edges are 3.8396, 3.8396 and 18.4036 Å and the angles 90.00°, 90.00° and 120.00°. The asymmetric unit holds Sb at (0.0000, 0.0000, 0.0000), As at (0.0000, 0.0000, 0.5000) and Pd at (0.0000, 0.0000, 0.2382).